(1)
The following is a DFT calculation (PBE) of an optimized crystal structure of Sc7SbI12.

extended XYZ file:
```
20
Lattice="-6.709 -5.951 2.955 0.668 -0.784 -9.386 8.212 -2.764 3.751" Properties=species:S:1:pos:R:3 pbc="T T T"
Sc 1.319 -8.745 -0.173
Sc -1.791 -2.088 0.080
Sc 1.942 -1.547 1.188
Sc 1.086 -4.750 -1.339
Sc 0.230 -7.952 -3.866
Sc 3.963 -7.411 -2.759
Sc 0.853 -0.754 -2.506
Sb 0.000 0.000 0.000
I 0.390 -7.882 2.704
I -3.828 -4.479 0.218
I 0.173 -3.941 1.345
I -0.833 -6.987 -1.253
I 4.193 -3.294 2.516
I 3.167 -6.407 -0.068
I -0.996 -3.092 -2.611
I -2.022 -6.205 -5.195
I 3.004 -2.512 -1.426
I 1.998 -5.558 -4.024
I 5.999 -5.020 -2.897
I 1.781 -1.617 -5.383
```

Formation energy (no corrections) in kJ/mol of formula units: -2091
Magnetic moment in μB per cell: 0.26

***

(2)
The following is a DFT calculation (PBE) of an optimized crystal structure of ScSbI.

extended XYZ file:
```
12
Lattice="6.189 0.000 0.000 0.000 7.593 -0.090 0.000 0.000 8.342" Properties=species:S:1:pos:R:3 pbc="T T T"
Sc 3.009 1.742 5.171
Sc 6.104 5.851 7.253
Sc 3.180 5.851 3.082
Sc 0.085 1.742 0.999
Sb 5.058 7.249 4.906
Sb 4.226 7.248 0.735
Sb 1.131 0.345 3.346
Sb 1.963 0.345 7.517
I 1.461 4.393 0.986
I 1.634 4.393 5.158
I 4.728 3.200 7.266
I 4.555 3.200 3.095
```

Formation energy (no corrections) in kJ/mol of formula units: -219
Magnetic moment in μB per cell: 0.00

***

(3)
The following is a DFT calculation (PBE) of an optimized crystal structure of ScSb2I2.

extended XYZ file:
```
10
Lattice="7.731 0.000 0.000 0.000 7.731 0.000 0.000 0.000 7.436" Properties=species:S:1:pos:R:3 pbc="T T T"
I 2.430 6.296 0.000
I 6.296 5.301 0.000
I 5.301 1.436 0.000
I 1.436 2.430 0.000
Sb 0.912 4.778 3.718
Sb 4.778 6.819 3.718
Sb 6.819 2.954 3.718
Sb 2.954 0.912 3.718
Sc 0.000 0.000 0.000
Sc 3.866 3.866 0.000
```

Relative energy among the computed polymorphs in meV per atom: 218
Formation energy (no corrections) in kJ/mol of formula units: 2
Magnetic moment in μB per cell: 1.34